This record from Alexandria describes a relaxed structure of NbSe2Br8. The functional is PBE-GGA.

Output
Density of states at the Fermi level, states/eV/atom: 0.1071
Calculated total energy, eV/atom: -3.22
Formation energy from raw total energies, eV per atom: -0.453

Cell: 9.908 7.197 7.197 Å, 102.52 78.33 78.33°
Fractional positions:
Br: 0.378 0.317 0.317
Br: 0.867 0.744 0.062
Br: 0.133 0.256 0.938
Br: 0.622 0.683 0.683
Br: 0.133 0.938 0.256
Br: 0.867 0.062 0.744
Br: 0.201 0.733 0.733
Br: 0.799 0.267 0.267
Se: 0.429 0.915 0.915
Se: 0.571 0.085 0.085
Nb: 0.000 0.000 0.000